# 1
Density functional theory data (PBE) for SrCr2P after structural relaxation.

Cell: 5.552 5.552 5.552 Å, 134.45 134.45 66.39°
Sites, in units of the cell vectors:
Cr1 0.000 0.000 0.000
Cr2 0.500 0.500 0.000
P1 0.250 0.750 0.500
Sr1 0.750 0.250 0.500

The theoretical density comes out at 4.3 g/cm3. The formation energy is 2.51 eV per formula unit. The symmetry is No. 139.

---

# 2
Density functional theory data (PBE) for ScAs after structural relaxation.

Cell: 8.334 8.334 8.334 Å, 90.00 90.00 90.00°
Sites, in units of the cell vectors:
Sc1 0.152 0.152 0.152
Sc2 0.152 0.848 0.848
Sc3 0.848 0.152 0.848
Sc4 0.848 0.848 0.152
Sc5 0.652 0.652 0.652
Sc6 0.652 0.348 0.348
Sc7 0.348 0.652 0.348
Sc8 0.348 0.348 0.652
As1 0.334 0.334 0.334
As2 0.334 0.666 0.666
As3 0.666 0.334 0.666
As4 0.666 0.666 0.334
As5 0.834 0.834 0.834
As6 0.834 0.166 0.166
As7 0.166 0.834 0.166
As8 0.166 0.166 0.834

The theoretical density comes out at 2.8 g/cm3. The formation energy is -1.62 eV per formula unit. The symmetry is No. 217.

---

# 3
Density functional theory data (PBE) for CdIn2Sb after structural relaxation.

Cell: 10.927 10.927 10.927 Å, 17.80 17.80 17.80°
Sites, in units of the cell vectors:
Sb1 0.496 0.496 0.496
Cd1 0.751 0.751 0.751
In1 0.005 0.005 0.005
In2 0.248 0.248 0.248

The theoretical density comes out at 7.2 g/cm3. The offset from the most stable computed form is 38 meV/atom. The calculation puts the formation energy (no corrections) at 0.0750 eV per atom. The symmetry is No. 160.

---

Q: Among the records above, which one has the highest theoretical density?
A: CdIn2Sb